# 1
LaIr3I: optimized geometry, GGA-PBE.

a b c (Å): 4.9247 4.9247 4.9247
angles (deg): 90.00 90.00 90.00
Closest atoms and distances in Å follow each position.
Positions (direct):
1 I 0.0000 0.0000 0.0000  6 Ir 2.46
2 Ir 0.0000 0.5000 0.0000  2 I 2.46
3 Ir 0.0000 0.0000 0.5000  2 I 2.46
4 Ir 0.5000 0.0000 0.0000  2 I 2.46
5 La 0.5000 0.5000 0.5000  12 Ir 3.48

The value obtained for the formation energy (no corrections) is 4.6 eV/f.u. The relative energy among the computed polymorphs is 0.0000 eV per atom.

***

# 2
Na3Tl8Pd3: optimized geometry, GGA-PBE.

a b c (Å): 4.7311 9.1845 9.1845
angles (deg): 81.53 75.07 75.07
Closest atoms and distances in Å follow each position.
Positions (direct):
1 Na 0.5000 0.5000 0.5000  8 Tl 3.36
2 Na 0.8020 0.1980 0.1980  2 Pd 3.07, 4 Tl 3.38
3 Na 0.1980 0.8020 0.8020  2 Pd 3.07, 4 Tl 3.38
4 Tl 0.6293 0.0575 0.6839  3 Pd 2.81-2.97
5 Tl 0.3707 0.9425 0.3161  3 Pd 2.81-2.97
6 Tl 0.6293 0.6839 0.0575  3 Pd 2.81-2.97
7 Tl 0.3707 0.3161 0.9425  3 Pd 2.81-2.97
8 Tl 0.8705 0.7694 0.4895  5 Tl 3.15-3.39, 1 Pd 3.17, 2 Na 3.36
9 Tl 0.1295 0.2306 0.5105  5 Tl 3.15-3.39, 1 Pd 3.17, 2 Na 3.36
10 Tl 0.8705 0.4895 0.7694  5 Tl 3.15-3.39, 1 Pd 3.17, 2 Na 3.36
11 Tl 0.1295 0.5105 0.2306  5 Tl 3.15-3.39, 1 Pd 3.17, 2 Na 3.36
12 Pd 0.5000 0.0000 0.0000  4 Tl 2.81, 4 Pd 2.88
13 Pd 0.0000 0.8630 0.1370  2 Pd 2.88, 6 Tl 2.97-3.17, 2 Na 3.07
14 Pd 0.0000 0.1370 0.8630  2 Pd 2.88, 6 Tl 2.97-3.17, 2 Na 3.07

The formation enthalpy at 0 K is -90 meV/atom.

***

# 3
Pm8CoIr3Br4: optimized geometry, GGA-PBE.

a b c (Å): 8.2050 9.0820 8.2039
angles (deg): 116.89 120.00 90.00
Closest atoms and distances in Å follow each position.
Positions (direct):
1 Pm 0.2267 0.6924 0.9661  1 Co 2.75, 2 Ir 2.82
2 Pm 0.2268 0.6925 0.4536  1 Co 2.75, 2 Ir 2.82
3 Pm 0.2679 0.3042 0.5359  3 Ir 2.81
4 Pm 0.7394 0.6924 0.9661  1 Co 2.75, 2 Ir 2.82
5 Pm 0.2606 0.3076 0.0339  1 Co 2.75, 2 Ir 2.82
6 Pm 0.7321 0.6958 0.4641  3 Ir 2.81
7 Pm 0.7732 0.3075 0.5464  1 Co 2.75, 2 Ir 2.82
8 Pm 0.7733 0.3076 0.0339  1 Co 2.75, 2 Ir 2.82
9 Co 0.0000 0.5000 0.0000  6 Pm 2.75
10 Ir 0.5000 0.5000 0.0000  6 Pm 2.81-2.82
11 Ir 0.5000 0.5000 0.5000  6 Pm 2.81-2.82
12 Ir 0.0000 0.5000 0.5000  6 Pm 2.81-2.82
13 Br 0.5000 0.0000 0.0000  6 Pm 3.40
14 Br 0.5000 0.0000 0.5000  6 Pm 3.34
15 Br 0.0000 0.0000 0.0000  6 Pm 3.34
16 Br 0.0000 0.0000 0.5000  6 Pm 3.34

The value obtained for the formation energy (no corrections) is -16.1 eV/f.u.

***

# 4
Pa2Pd5Pt: optimized geometry, GGA-PBE.

a b c (Å): 4.0576 5.7974 12.3916
angles (deg): 90.00 90.00 90.00
Closest atoms and distances in Å follow each position.
Positions (direct):
1 Pa 0.5000 0.2413 0.6238  10 Pd 2.90-3.10, 2 Pt 2.90
2 Pa 0.5000 0.7587 0.3762  10 Pd 2.90-3.10, 2 Pt 2.90
3 Pa 0.5000 0.2587 0.1238  10 Pd 2.90-3.10, 2 Pt 2.90
4 Pa 0.5000 0.7413 0.8762  10 Pd 2.90-3.10, 2 Pt 2.90
5 Pd 0.0000 0.0000 0.0000  2 Pt 2.90, 6 Pd 2.92-3.08, 4 Pa 2.95
6 Pd 0.0000 0.5000 0.5000  2 Pt 2.90, 6 Pd 2.92-3.08, 4 Pa 2.95
7 Pd 0.0000 0.4904 0.7487  7 Pd 2.90-3.08, 4 Pa 2.93-2.95, 1 Pt 3.11
8 Pd 0.0000 0.5096 0.2513  7 Pd 2.90-3.08, 4 Pa 2.93-2.95, 1 Pt 3.11
9 Pd 0.0000 0.0096 0.2487  7 Pd 2.90-3.08, 4 Pa 2.93-2.95, 1 Pt 3.11
10 Pd 0.0000 0.9904 0.7513  7 Pd 2.90-3.08, 4 Pa 2.93-2.95, 1 Pt 3.11
11 Pd 0.5000 0.2412 0.8734  4 Pa 2.90-3.10, 6 Pd 2.92-2.93, 2 Pt 2.97
12 Pd 0.5000 0.7588 0.1266  4 Pa 2.90-3.10, 6 Pd 2.92-2.93, 2 Pt 2.97
13 Pd 0.5000 0.2588 0.3734  4 Pa 2.90-3.10, 6 Pd 2.92-2.93, 2 Pt 2.97
14 Pd 0.5000 0.7412 0.6266  4 Pa 2.90-3.10, 6 Pd 2.92-2.93, 2 Pt 2.97
15 Pt 0.0000 0.0000 0.5000  8 Pd 2.90-3.11, 4 Pa 2.90
16 Pt 0.0000 0.5000 0.0000  8 Pd 2.90-3.11, 4 Pa 2.90

The formation enthalpy at 0 K is -712 meV/atom. The relative energy among the computed polymorphs is 0.0683 eV per atom.

***

# 5
SrTmGa2Pt2: optimized geometry, GGA-PBE.

a b c (Å): 4.4583 4.4583 7.6550
angles (deg): 90.00 90.00 120.00
Closest atoms and distances in Å follow each position.
Positions (direct):
1 Sr 0.0000 0.0000 0.0000  6 Ga 3.39, 6 Pt 3.44
2 Tm 0.0000 0.0000 0.5000  6 Pt 3.00, 6 Ga 3.04
3 Ga 0.6667 0.3333 0.2890  3 Pt 2.58
4 Ga 0.3333 0.6667 0.7110  3 Pt 2.58
5 Pt 0.6667 0.3333 0.7012  3 Ga 2.58
6 Pt 0.3333 0.6667 0.2988  3 Ga 2.58

The formation enthalpy at 0 K is -989 meV/atom.

***

# 6
BeCN2: optimized geometry, GGA-PBE.

a b c (Å): 3.4340 3.4340 3.4340
angles (deg): 60.00 60.00 60.00
Closest atoms and distances in Å follow each position.
Positions (direct):
1 Be 0.0000 0.0000 0.0000  8 N 2.10
2 C 0.5000 0.5000 0.5000  8 N 2.10
3 N 0.2500 0.2500 0.2500  4 Be 2.10, 4 C 2.10
4 N 0.7500 0.7500 0.7500  4 Be 2.10, 4 C 2.10

The value obtained for the formation energy (no corrections) is 10.5 eV/f.u.

***

# 7
TlSbS2: optimized geometry, GGA-PBE.

a b c (Å): 7.5333 7.5333 6.9543
angles (deg): 57.21 57.21 90.00
Closest atoms and distances in Å follow each position.
Positions (direct):
1 Sb 0.5000 0.5000 0.0000  4 S 2.65
2 Sb 0.2500 0.7500 0.5000  4 S 2.65
3 Tl 0.0000 0.0000 0.0000  4 S 3.16
4 Tl 0.7500 0.2500 0.5000  4 S 3.16
5 S 0.5723 0.1250 0.2500  2 Sb 2.65
6 S 0.1777 0.6250 0.2500  2 Sb 2.65
7 S 0.3750 0.4277 0.7500  2 Sb 2.65
8 S 0.8750 0.8223 0.7500  2 Sb 2.65

The value obtained for the formation energy (no corrections) is -0.5 eV/f.u.

***

# 8
AlNi2BiW: optimized geometry, GGA-PBE.

a b c (Å): 4.6114 5.2056 4.6114
angles (deg): 90.00 90.00 90.00
Closest atoms and distances in Å follow each position.
Positions (direct):
1 Ni 0.0000 0.0000 0.5000  2 Bi 2.31
2 Ni 0.5000 0.0000 0.0000  2 Bi 2.31
3 Bi 0.0000 0.0000 0.0000  4 Ni 2.31
4 W 0.0000 0.5000 0.0000  2 Bi 2.60
5 Al 0.5000 0.5000 0.5000  4 W 3.26, 8 Ni 3.48

The formation enthalpy at 0 K is 1667 meV/atom.

***

no.,total magnetic moment (μB per formula unit)
1,1.0
2,0.0
3,0.0
4,1.5
5,0.0
6,0.0
7,0.0
8,0.0